1.
Zn2Cu2Hg | PBE | optimized geometry

Cell and atoms, written as POSCAR:
```
Zn2Cu2Hg
1.0
7.0552 0.0000 0.0000
0.0000 7.0552 0.0000
0.0000 0.0000 3.0587
Cu Hg Zn
4 2 4
Cartesian
4.4712 0.9436 0.0000 Cu
2.5840 6.1116 0.0000 Cu
6.1116 4.4712 0.0000 Cu
0.9436 2.5840 0.0000 Cu
3.5276 3.5276 0.0000 Hg
0.0000 0.0000 0.0000 Hg
2.4105 1.1171 1.5294 Zn
1.1171 4.6447 1.5294 Zn
5.9381 2.4105 1.5294 Zn
4.6447 5.9381 1.5294 Zn
```

Properties
**ΔE to the lowest computed polymorph**: 0.000 eV/atom
**V**: 15.2 Å³/atom
**ΔE_f**: 4.15 kJ/mol of atoms
**Theoretical density**: 10.0 g/cm3
**Space group**: No. 127

***

2.
KTlAgS2 | PBE | optimized geometry

Cell and atoms, written as POSCAR:
```
KTlAgS2
1.0
-3.4976 -3.7598 2.6539
4.7878 -0.8968 5.0394
-5.2601 5.6959 1.1372
S K Tl Ag
4 2 2 2
Cartesian
-3.0272 2.8825 3.3890 S
-1.6696 0.3971 1.6569 S
-0.9427 -1.8432 5.4415 S
-2.3003 0.6422 7.1735 S
-4.0876 -0.2298 3.8426 K
0.1177 1.2691 4.9879 K
-0.5519 -2.1041 2.5868 Tl
1.8420 -2.5525 5.1065 Tl
2.3939 -0.4484 2.5197 Ag
0.0000 0.0000 0.0000 Ag
```

Properties
**V**: 28.4 Å³/atom
**Theoretical density**: 4.9 g/cm3
**Space group**: No. 67
**ΔE_f (raw)**: -0.4071 eV/atom

***

3.
YbAuO3 | PBE | optimized geometry

Cell and atoms, written as POSCAR:
```
YbAuO3
1.0
4.0992 0.0000 0.0000
0.0000 4.0992 0.0000
0.0000 0.0000 4.0992
O Yb Au
3 1 1
Cartesian
2.0496 2.0496 0.0000 O
0.0000 2.0496 2.0496 O
2.0496 0.0000 2.0496 O
0.0000 0.0000 0.0000 Yb
2.0496 2.0496 2.0496 Au
```

Properties
**V**: 13.8 Å³/atom
**Theoretical density**: 10.1 g/cm3
**Space group**: No. 221
**ΔE_f (raw)**: -0.9358 eV/atom